1.
# Ba2TbF6

Crystalline Ba2TbF6 at its relaxed geometry (PBE, Alexandria via LeMat-Bulk).

## Properties
**Space-group type**: Immm, No. 71
**Electronic total energy**: -53.17 eV/cell

Cell lengths 4.048, 6.477, 7.302 Å; angles 116.33, 106.05, 90.00 degrees
Site moments in Bohr magnetons follow the coordinates.
Element x y z (fractional)
Ba  0.653  0.653  0.307  0.11
Ba  0.347  0.347  0.693  0.11
Tb  0.000  0.000  0.000  0.07
F  0.155  0.361  0.311  0.01
F  0.845  0.050  0.689  0.01
F  0.845  0.639  0.689  0.01
F  0.500  0.189  0.000  0.01
F  0.155  0.950  0.311  0.01
F  0.500  0.811  0.000  0.01

***

2.
# CdSb2Rh

Crystalline CdSb2Rh at its relaxed geometry (PBE, Alexandria via LeMat-Bulk).

## Properties
**Space-group type**: Immm, No. 71
**Electronic total energy**: -17.14 eV/cell

Cell lengths 6.775, 6.775, 6.775 Å; angles 152.64, 139.27, 49.76 degrees
Element x y z (fractional)
Cd  0.000  0.500  0.500
Sb  0.679  0.679  0.000
Sb  0.321  0.321  0.000
Rh  0.500  0.000  0.500

***

3.
# CsDyCdTe3

Crystalline CsDyCdTe3 at its relaxed geometry (PBE, Alexandria via LeMat-Bulk).

## Properties
**Space-group type**: Cmcm, No. 63
**Electronic total energy**: -44.70 eV/cell

Cell lengths 4.545, 8.968, 11.872 Å; angles 90.00, 90.00, 104.69 degrees
Element x y z (fractional)
Cs  0.751  0.502  0.750
Cs  0.249  0.498  0.250
Cd  0.538  0.074  0.250
Cd  0.462  0.926  0.750
Te  0.935  0.869  0.250
Te  0.065  0.131  0.750
Te  0.380  0.760  0.546
Te  0.380  0.760  0.954
Te  0.620  0.240  0.046
Te  0.620  0.240  0.454
Dy  0.000  0.000  0.500
Dy  0.000  0.000  0.000

***

4.
# TbCeCo

Crystalline TbCeCo at its relaxed geometry (PBE, Alexandria via LeMat-Bulk).

## Properties
**Energy relative to the elements**: 0.02 eV per atom
**Space-group type**: F-43m, No. 216
**Electronic total energy**: -17.60 eV/cell
**E above lowest polymorph**: 0.163 eV/atom

Cell lengths 4.697, 4.697, 4.697 Å; angles 60.00, 60.00, 60.00 degrees
Site moments in Bohr magnetons follow the coordinates.
Element x y z (fractional)
Co  0.250  0.250  0.250  -0.11
Tb  0.000  0.000  0.000  0.10
Ce  0.500  0.500  0.500  0.57

***

Number 1: mass density 5571 kg/m³, D(E_F) 0.060 states/eV per atom. Number 2: mass density 8206 kg/m³, D(E_F) 0.413 states/eV per atom. Number 3: mass density 5609 kg/m³, D(E_F) 0.000 states/eV per atom. Number 4: mass density 8110 kg/m³, D(E_F) 2.150 states/eV per atom.